Crystalline BaHg2BiRh at its relaxed geometry. Source: the Alexandria database, functional PBE-GGA.

Cell lengths 5.3099, 5.3099, 5.3710 Å; angles 90.00, 90.00, 90.00 degrees
With the nearest neighbours (Å) after each atom.
Sites, in units of the cell vectors:
1 Ba 0.0000 0.0000 0.0000  4 Bi 3.75, 8 Hg 3.78
2 Hg 0.0000 0.5000 0.5000  2 Rh 2.65
3 Hg 0.5000 0.0000 0.5000  2 Rh 2.65
4 Bi 0.5000 0.5000 0.0000  2 Rh 2.69
5 Rh 0.5000 0.5000 0.5000  4 Hg 2.65, 2 Bi 2.69

Calculated values
**Space group**: P4/mmm, No. 123
**Calculated total energy**: -3.0641 eV per atom
**Crystal system**: tetragonal
**Volume**: 151 Å³/f.u.

Crystalline Ba3Hg2Bi4Rh2 at its relaxed geometry. Source: the Alexandria database, functional PBE-GGA.

Cell lengths 4.8356, 4.8356, 17.9431 Å; angles 90.00, 90.00, 120.00 degrees
With the nearest neighbours (Å) after each atom.
Sites, in units of the cell vectors:
1 Ba 0.0000 0.0000 0.0000  6 Bi 3.60
2 Ba 0.0000 0.0000 0.2930  3 Hg 3.42, 3 Bi 3.55, 3 Rh 3.81
3 Ba 0.0000 0.0000 0.7070  3 Hg 3.42, 3 Bi 3.55, 3 Rh 3.81
4 Hg 0.3333 0.6667 0.1829  3 Bi 2.97
5 Hg 0.6667 0.3333 0.8171  3 Bi 2.97
6 Bi 0.3333 0.6667 0.4150  4 Rh 2.65-2.82
7 Bi 0.3333 0.6667 0.8730  3 Hg 2.97
8 Bi 0.6667 0.3333 0.1270  3 Hg 2.97
9 Bi 0.6667 0.3333 0.5850  4 Rh 2.65-2.82
10 Rh 0.3333 0.6667 0.5627  4 Bi 2.65-2.82
11 Rh 0.6667 0.3333 0.4373  4 Bi 2.65-2.82

Calculated values
**Space group**: P-3m1, No. 164
**Calculated total energy**: -3.7467 eV per atom
**Crystal system**: trigonal
**Volume**: 363 Å³/f.u.

Crystalline Ba2HgBiS4 at its relaxed geometry. Source: the Alexandria database, functional PBE-GGA.

Cell lengths 8.7331, 8.7331, 8.7331 Å; angles 120.90, 119.43, 89.71 degrees
With the nearest neighbours (Å) after each atom.
Sites, in units of the cell vectors:
1 Ba 0.0000 0.0000 0.0000  6 S 3.09-3.12
2 Ba 0.5000 0.0000 0.0000  6 S 3.22-3.29
3 Ba 0.5000 0.0000 0.5000  6 S 3.09-3.12
4 Ba 0.5000 0.5000 0.5000  6 S 3.22-3.29
5 Hg 0.0000 0.5000 0.5000  6 S 3.05-3.12
6 Hg 0.5000 0.5000 0.0000  6 S 3.05-3.12
7 Bi 0.0000 0.0000 0.5000  6 S 2.90-2.94
8 Bi 0.0000 0.5000 0.0000  6 S 2.90-2.94
9 S 0.2265 0.2488 0.9777  2 Bi 2.94, 3 Ba 3.09-3.22, 1 Hg 3.12
10 S 0.2290 0.7512 0.4777  2 Bi 2.94, 3 Ba 3.09-3.22, 1 Hg 3.12
11 S 0.2339 0.2394 0.5055  1 Bi 2.90, 2 Hg 3.05, 2 Ba 3.12
12 S 0.2339 0.7285 0.9945  1 Bi 2.90, 2 Hg 3.05, 2 Ba 3.12
13 S 0.7661 0.2715 0.0055  1 Bi 2.90, 2 Hg 3.05, 2 Ba 3.12
14 S 0.7661 0.7606 0.4945  1 Bi 2.90, 2 Hg 3.05, 2 Ba 3.12
15 S 0.7710 0.2488 0.5223  2 Bi 2.94, 3 Ba 3.09-3.22, 1 Hg 3.12
16 S 0.7735 0.7512 0.0223  2 Bi 2.94, 3 Ba 3.09-3.22, 1 Hg 3.12

Calculated values
**Space group**: Imma, No. 74
**Calculated total energy**: -4.0526 eV per atom
**Crystal system**: orthorhombic
**Uncorrected formation energy**: -95 kJ/mol of atoms
**Volume**: 235 Å³/f.u.

Crystalline BaHgBiSb at its relaxed geometry. Source: the Alexandria database, functional PBE-GGA.

Cell lengths 5.7262, 5.7262, 5.7262 Å; angles 60.00, 60.00, 60.00 degrees
With the nearest neighbours (Å) after each atom.
Sites, in units of the cell vectors:
1 Ba 0.0000 0.0000 0.0000  4 Hg 3.51, 4 Sb 3.51
2 Hg 0.7500 0.7500 0.7500  4 Ba 3.51, 4 Bi 3.51
3 Bi 0.5000 0.5000 0.5000  4 Hg 3.51, 4 Sb 3.51
4 Sb 0.2500 0.2500 0.2500  4 Ba 3.51, 4 Bi 3.51

Calculated values
**Space group**: F-43m, No. 216
**Calculated total energy**: -2.9495 eV per atom
**Crystal system**: cubic
**Uncorrected formation energy**: -38 kJ/mol of atoms
**Volume**: 133 Å³/f.u.
**Offset from the most stable computed form**: 50.9 meV per atom

Crystalline BaHgBiSb2 at its relaxed geometry. Source: the Alexandria database, functional PBE-GGA.

Cell lengths 6.3751, 6.3751, 6.4904 Å; angles 90.00, 90.00, 90.00 degrees
With the nearest neighbours (Å) after each atom.
Sites, in units of the cell vectors:
1 Ba 0.0000 0.0000 0.0000  4 Sb 3.19, 2 Bi 3.25
2 Hg 0.5000 0.5000 0.5000  4 Bi 4.51, 8 Sb 4.55
3 Bi 0.0000 0.0000 0.5000  2 Ba 3.25
4 Sb 0.0000 0.5000 0.0000  2 Ba 3.19
5 Sb 0.5000 0.0000 0.0000  2 Ba 3.19

Calculated values
**Space group**: P4/mmm, No. 123
**Calculated total energy**: -2.0725 eV per atom
**Crystal system**: tetragonal
**Uncorrected formation energy**: 77 kJ/mol of atoms
**Volume**: 264 Å³/f.u.

Crystalline Ba4HgBi2Sb2 at its relaxed geometry. Source: the Alexandria database, functional PBE-GGA.

Cell lengths 6.6954, 6.6954, 8.6670 Å; angles 91.89, 91.89, 88.21 degrees
With the nearest neighbours (Å) after each atom.
Sites, in units of the cell vectors:
1 Ba 0.1112 0.6207 0.7494  1 Hg 3.50, 3 Sb 3.54-3.86, 3 Bi 3.55-3.80
2 Ba 0.3793 0.8888 0.2506  1 Hg 3.50, 3 Sb 3.54-3.86, 3 Bi 3.55-3.80
3 Ba 0.6207 0.1112 0.7494  1 Hg 3.50, 3 Sb 3.54-3.86, 3 Bi 3.55-3.80
4 Ba 0.8888 0.3793 0.2506  1 Hg 3.50, 3 Sb 3.54-3.86, 3 Bi 3.55-3.80
5 Hg 0.5000 0.5000 0.5000  4 Ba 3.50, 2 Bi 3.70, 2 Sb 3.83
6 Bi 0.3713 0.3713 0.0913  1 Bi 3.00
7 Bi 0.6287 0.6287 0.9087  1 Bi 3.00
8 Sb 0.1186 0.1186 0.6085  1 Sb 2.89
9 Sb 0.8814 0.8814 0.3915  1 Sb 2.89

Calculated values
**Space group**: C2/m, No. 12
**Calculated total energy**: -3.4199 eV per atom
**Crystal system**: monoclinic
**Uncorrected formation energy**: -73 kJ/mol of atoms
**Volume**: 388 Å³/f.u.

Crystalline BaHgBiSb at its relaxed geometry. Source: the Alexandria database, functional PBE-GGA.

Cell lengths 6.7058, 6.7058, 5.1101 Å; angles 112.34, 112.34, 43.91 degrees
With the nearest neighbours (Å) after each atom.
Sites, in units of the cell vectors:
1 Ba 0.0000 0.0000 0.0000  3 Sb 3.60-3.86, 4 Bi 3.62-3.79, 3 Hg 3.69-3.74
2 Hg 0.2568 0.2568 0.8118  2 Sb 2.92, 2 Bi 3.00-3.25
3 Bi 0.4150 0.4150 0.4392  2 Hg 3.00-3.25, 1 Sb 3.01
4 Sb 0.6674 0.6674 0.5088  2 Hg 2.92, 1 Bi 3.01

Calculated values
**Space group**: Cm, No. 8
**Calculated total energy**: -3.0004 eV per atom
**Crystal system**: monoclinic
**Uncorrected formation energy**: -43 kJ/mol of atoms
**Volume**: 145 Å³/f.u.
**Offset from the most stable computed form**: 0.0 meV per atom

Crystalline Ba2Hg4BiSb2 at its relaxed geometry. Source: the Alexandria database, functional PBE-GGA.

Cell lengths 7.6681, 7.6681, 7.6681 Å; angles 123.03, 123.03, 84.83 degrees
With the nearest neighbours (Å) after each atom.
Sites, in units of the cell vectors:
1 Ba 0.2500 0.7500 0.5000  4 Sb 3.68, 8 Hg 3.86
2 Ba 0.7500 0.2500 0.5000  4 Sb 3.68, 8 Hg 3.86
3 Hg 0.2083 0.2083 0.4166  1 Bi 3.02, 2 Hg 3.05, 2 Sb 3.28
4 Hg 0.2083 0.7917 0.0000  1 Bi 3.02, 2 Hg 3.05, 2 Sb 3.28
5 Hg 0.7917 0.2083 0.0000  1 Bi 3.02, 2 Hg 3.05, 2 Sb 3.28
6 Hg 0.7917 0.7917 0.5834  1 Bi 3.02, 2 Hg 3.05, 2 Sb 3.28
7 Bi 0.5000 0.5000 0.0000  4 Hg 3.02, 2 Sb 3.19
8 Sb 0.2180 0.2180 0.0000  1 Bi 3.19, 4 Hg 3.28
9 Sb 0.7820 0.7820 0.0000  1 Bi 3.19, 4 Hg 3.28

Calculated values
**Space group**: I4/mmm, No. 139
**Calculated total energy**: -2.3165 eV per atom
**Crystal system**: tetragonal
**Uncorrected formation energy**: -39 kJ/mol of atoms
**Volume**: 303 Å³/f.u.

Crystalline BaHgBi2Sb at its relaxed geometry. Source: the Alexandria database, functional PBE-GGA.

Cell lengths 9.5986, 9.5986, 9.5986 Å; angles 136.16, 136.16, 63.73 degrees
With the nearest neighbours (Å) after each atom.
Sites, in units of the cell vectors:
1 Ba 0.0000 0.0000 0.0000  1 Hg 3.49, 4 Sb 3.59, 4 Bi 3.81
2 Ba 0.5000 0.5000 0.0000  1 Hg 3.49, 4 Sb 3.59, 4 Bi 3.81
3 Hg 0.2858 0.2858 0.0000  4 Bi 3.35, 1 Ba 3.49
4 Hg 0.7858 0.7858 0.0000  4 Bi 3.35, 1 Ba 3.49
5 Bi 0.0092 0.5092 0.1895  1 Sb 3.01, 1 Bi 3.15, 2 Hg 3.35
6 Bi 0.3198 0.8198 0.8105  1 Sb 3.01, 1 Bi 3.15, 2 Hg 3.35
7 Bi 0.5092 0.3198 0.5000  1 Sb 3.01, 1 Bi 3.15, 2 Hg 3.35
8 Bi 0.8198 0.0092 0.5000  1 Sb 3.01, 1 Bi 3.15, 2 Hg 3.35
9 Sb 0.0070 0.5070 0.5000  2 Bi 3.01
10 Sb 0.5070 0.0070 0.5000  2 Bi 3.01

Calculated values
**Space group**: I4cm, No. 108
**Calculated total energy**: -3.1069 eV per atom
**Crystal system**: tetragonal
**Uncorrected formation energy**: -28 kJ/mol of atoms
**Volume**: 209 Å³/f.u.

Crystalline BaScHgBi2 at its relaxed geometry. Source: the Alexandria database, functional PBE-GGA.

Cell lengths 5.6792, 5.6792, 5.6174 Å; angles 90.00, 90.00, 90.00 degrees
With the nearest neighbours (Å) after each atom.
Sites, in units of the cell vectors:
1 Ba 0.0000 0.0000 0.0000  8 Bi 3.99, 4 Hg 4.02
2 Sc 0.5000 0.5000 0.5000  2 Hg 2.81, 4 Bi 2.84
3 Hg 0.5000 0.5000 0.0000  2 Sc 2.81
4 Bi 0.0000 0.5000 0.5000  2 Sc 2.84
5 Bi 0.5000 0.0000 0.5000  2 Sc 2.84

Calculated values
**Space group**: P4/mmm, No. 123
**Calculated total energy**: -3.7413 eV per atom
**Crystal system**: tetragonal
**Volume**: 181 Å³/f.u.